No. 1
VASP calculation (PBE) on crystalline Na2GeBiO4 at its relaxed geometry.

Summary:
Space group   Pmn2_1 (31)
Formation energy from raw total energies   -1.43 eV/atom

Structure (extended XYZ):
```
16
Lattice="7.493 0.000 0.000 0.000 6.157 0.000 0.000 0.000 5.733" Properties=species:S:1:pos:R:3 pbc="T T T"
Na 1.851 0.948 0.000
Na 1.895 5.209 2.866
Na 5.598 5.209 2.866
Na 5.641 0.948 0.000
Ge 0.000 2.126 2.906
Ge 3.746 4.031 0.040
Bi 0.000 4.037 5.474
Bi 3.746 2.120 2.608
O 0.000 1.912 4.728
O 0.000 3.920 2.926
O 1.503 1.336 2.319
O 2.243 4.822 5.186
O 3.746 2.237 0.059
O 3.746 4.245 1.862
O 5.250 4.822 5.186
O 5.989 1.336 2.319
```


No. 2
VASP calculation (PBE) on crystalline ErPu2Hf at its relaxed geometry.

Summary:
Space group   P4/mmm (123)
Relative energy among the computed polymorphs   0.043 eV per atom

Structure (extended XYZ):
```
4
Lattice="4.642 0.000 0.000 0.000 4.642 0.000 0.000 0.000 4.733" Properties=species:S:1:pos:R:3 pbc="T T T"
Er 0.000 0.000 0.000
Pu 0.000 2.321 2.367
Pu 2.321 0.000 2.367
Hf 2.321 2.321 0.000
```


No. 3
VASP calculation (PBE) on crystalline TmMnVGe2 at its relaxed geometry.

Summary:
Space group   I-4m2 (119)
Calculated total energy   -6.864 eV/atom

Structure (extended XYZ):
```
5
Lattice="-1.965 1.965 5.526 1.965 -1.965 5.526 1.965 1.965 -5.526" Properties=species:S:1:pos:R:3 pbc="T T T"
Tm 0.000 0.000 0.000
Mn 1.965 0.000 2.763
V 0.000 1.965 2.763
Ge 0.000 0.000 4.279
Ge 0.000 0.000 6.773
```


No. 4
VASP calculation (PBE) on crystalline MnNbCu2 at its relaxed geometry.

Summary:
Space group   I-42d (122)
Relative energy among the computed polymorphs   0.293 eV per atom

Structure (extended XYZ):
```
8
Lattice="-1.752 1.752 9.445 1.752 -1.752 9.445 1.752 1.752 -9.445" Properties=species:S:1:pos:R:3 pbc="T T T"
Mn 0.000 0.000 0.000
Mn 0.000 1.752 4.722
Nb 1.752 0.000 4.722
Nb 0.000 0.000 9.445
Cu 2.628 0.826 -2.361
Cu 0.826 0.876 2.361
Cu -0.876 0.926 7.084
Cu 0.926 0.876 11.806
```


No. 5
VASP calculation (PBE) on crystalline MnHg2Sb at its relaxed geometry.

Summary:
Space group   I4/mmm (139)
Formation energy from raw total energies   0.30 eV/atom

Structure (extended XYZ):
```
4
Lattice="-2.074 2.074 5.359 2.074 -2.074 5.359 2.074 2.074 -5.359" Properties=species:S:1:pos:R:3 pbc="T T T"
Mn 0.000 0.000 0.000
Hg 2.074 0.000 2.680
Hg 0.000 2.074 2.680
Sb 0.000 0.000 5.359
```


No. 6
VASP calculation (PBE) on crystalline SrEuMg4 at its relaxed geometry.

Summary:
Space group   F-43m (216)
Calculated total energy   -3.159 eV/atom

Structure (extended XYZ):
```
6
Lattice="0.000 4.497 4.497 4.497 0.000 4.497 4.497 4.497 0.000" Properties=species:S:1:pos:R:3 pbc="T T T"
Sr 0.000 0.000 0.000
Eu 6.745 6.745 6.745
Mg 3.376 3.376 3.376
Mg 5.618 5.618 3.376
Mg 5.618 3.376 5.618
Mg 3.376 5.618 5.618
```


No. 7
VASP calculation (PBE) on crystalline RbMg2Ge at its relaxed geometry.

Summary:
Space group   I4_1/amd (141)
Calculated total energy   -2.028 eV/atom

Structure (extended XYZ):
```
8
Lattice="-3.069 3.069 8.667 3.069 -3.069 8.667 3.069 3.069 -8.667" Properties=species:S:1:pos:R:3 pbc="T T T"
Rb 3.069 1.534 2.167
Rb 0.000 1.534 6.500
Mg 0.000 0.000 0.000
Mg 1.534 1.534 -4.333
Mg 1.534 -1.534 4.333
Mg 0.000 3.069 0.000
Ge 3.069 -1.534 6.500
Ge 0.000 4.603 2.167
```


No. 8
VASP calculation (PBE) on crystalline LuZrTiIr at its relaxed geometry.

Summary:
Space group   F-43m (216)
Calculated total energy   -7.818 eV/atom

Structure (extended XYZ):
```
4
Lattice="0.000 3.392 3.392 3.392 0.000 3.392 3.392 3.392 0.000" Properties=species:S:1:pos:R:3 pbc="T T T"
Lu 0.000 0.000 0.000
Zr 3.392 3.392 3.392
Ti 5.088 5.088 5.088
Ir 1.696 1.696 1.696
```


No. 9
VASP calculation (PBE) on crystalline BiTeRu at its relaxed geometry.

Summary:
Space group   P2_1/c (14)
Formation energy from raw total energies   -0.18 eV/atom

Structure (extended XYZ):
```
12
Lattice="6.849 0.000 0.000 0.000 6.714 0.000 -2.866 0.000 6.265" Properties=species:S:1:pos:R:3 pbc="T T T"
Bi -0.130 0.966 2.382
Bi -1.563 2.391 5.515
Bi 5.546 4.324 0.750
Bi 4.113 5.748 3.882
Te 0.451 4.276 4.239
Te 1.884 5.795 1.106
Te 2.099 0.919 5.158
Te 3.532 2.438 2.026
Ru 1.111 3.402 1.864
Ru -0.322 6.670 4.996
Ru 4.305 0.044 1.268
Ru 2.872 3.313 4.401
```


No. 10
VASP calculation (PBE) on crystalline MnZnNiIr2 at its relaxed geometry.

Summary:
Space group   P4/mmm (123)
Calculated total energy   -5.592 eV/atom

Structure (extended XYZ):
```
5
Lattice="4.546 0.000 0.000 0.000 4.546 0.000 0.000 0.000 4.233" Properties=species:S:1:pos:R:3 pbc="T T T"
Mn 0.000 0.000 0.000
Zn 2.273 2.273 2.117
Ni 2.273 2.273 0.000
Ir 0.000 2.273 2.117
Ir 2.273 0.000 2.117
```


No. 11
VASP calculation (PBE) on crystalline BaTlZnHg2 at its relaxed geometry.

Summary:
Space group   P4/mmm (123)
Calculated total energy   -1.407 eV/atom

Structure (extended XYZ):
```
5
Lattice="5.360 0.000 0.000 0.000 5.360 0.000 0.000 0.000 5.385" Properties=species:S:1:pos:R:3 pbc="T T T"
Ba 0.000 0.000 0.000
Tl 2.680 2.680 0.000
Zn 2.680 2.680 2.693
Hg 0.000 2.680 2.693
Hg 2.680 0.000 2.693
```


No. 12
VASP calculation (PBE) on crystalline La5ZnBr5 at its relaxed geometry.

Summary:
Space group   C2/m (12)
Formation energy from raw total energies   -1.27 eV/atom

Structure (extended XYZ):
```
11
Lattice="6.670 -3.034 0.000 6.670 3.034 0.000 -2.889 0.000 8.395" Properties=species:S:1:pos:R:3 pbc="T T T"
La 0.000 0.000 0.000
La 3.885 0.000 1.259
La 2.544 0.000 5.708
La 7.906 0.000 2.687
La 6.565 0.000 7.136
Zn 6.670 0.000 0.000
Br -0.303 0.000 6.757
Br 1.088 0.000 2.910
Br 5.225 0.000 4.198
Br 9.362 0.000 5.485
Br 10.753 0.000 1.638
```


No. 13
VASP calculation (PBE) on crystalline Cd2PtRhPb at its relaxed geometry.

Summary:
Space group   P4/mmm (123)
Calculated total energy   -3.304 eV/atom

Structure (extended XYZ):
```
5
Lattice="5.069 0.000 0.000 0.000 5.069 0.000 0.000 0.000 5.070" Properties=species:S:1:pos:R:3 pbc="T T T"
Cd 0.000 2.535 0.000
Cd 2.535 0.000 0.000
Pt 0.000 0.000 2.535
Rh 2.535 2.535 0.000
Pb 2.535 2.535 2.535
```


No. 14
VASP calculation (PBE) on crystalline SrSm2Al at its relaxed geometry.

Summary:
Space group   P4/mmm (123)
Relative energy among the computed polymorphs   0.000 eV per atom

Structure (extended XYZ):
```
4
Lattice="3.747 0.000 0.000 0.000 3.747 0.000 0.000 0.000 9.643" Properties=species:S:1:pos:R:3 pbc="T T T"
Sr 0.000 0.000 0.000
Sm 1.874 1.874 3.072
Sm 1.874 1.874 6.571
Al 0.000 0.000 4.821
```


No. 15
VASP calculation (PBE) on crystalline MnSb2Se at its relaxed geometry.

Summary:
Space group   Pmmm (47)
Formation energy from raw total energies   0.28 eV/atom

Structure (extended XYZ):
```
4
Lattice="3.544 0.000 0.000 0.000 4.670 0.000 0.000 0.000 5.724" Properties=species:S:1:pos:R:3 pbc="T T T"
Mn 0.000 0.000 0.000
Sb 0.000 2.335 2.862
Sb 1.772 2.335 0.000
Se 1.772 0.000 2.862
```


No. 16
VASP calculation (PBE) on crystalline Li2AsAu8 at its relaxed geometry.

Summary:
Space group   C2/m (12)
Calculated total energy   -3.328 eV/atom

Structure (extended XYZ):
```
11
Lattice="7.409 -2.107 0.000 7.409 2.107 0.000 -0.999 0.000 6.169" Properties=species:S:1:pos:R:3 pbc="T T T"
Li 3.124 0.000 0.969
Li 10.694 0.000 5.199
As 6.909 0.000 3.084
Au 0.348 0.000 1.443
Au 1.589 0.000 4.455
Au 4.223 0.000 3.587
Au 5.902 0.000 0.199
Au 7.916 0.000 5.970
Au 9.595 0.000 2.581
Au 12.228 0.000 1.714
Au 13.469 0.000 4.725
```


No. 17
VASP calculation (PBE) on crystalline TeCF2 at its relaxed geometry.

Summary:
Space group   R-3m (166)
Formation energy from raw total energies   0.63 eV/atom
Relative energy among the computed polymorphs   0.030 eV per atom

Structure (extended XYZ):
```
4
Lattice="1.528 0.882 9.010 -1.528 0.882 9.010 0.000 -1.764 9.010" Properties=species:S:1:pos:R:3 pbc="T T T"
Te 0.000 0.000 0.000
C 0.000 0.000 13.516
F 0.000 0.000 3.520
F 0.000 0.000 23.511
```


No. 18
VASP calculation (PBE) on crystalline Pr3Zn2Sn at its relaxed geometry.

Summary:
Space group   P-3m1 (164)
Calculated total energy   -3.923 eV/atom

Structure (extended XYZ):
```
12
Lattice="5.334 0.000 0.000 -2.667 4.619 0.000 0.000 0.000 13.250" Properties=species:S:1:pos:R:3 pbc="T T T"
Pr 0.000 0.000 3.194
Pr 0.000 0.000 10.056
Pr 0.000 3.080 5.494
Pr 0.000 3.080 12.234
Pr 2.667 1.540 1.016
Pr 2.667 1.540 7.757
Zn 0.000 0.000 0.000
Zn 0.000 0.000 6.625
Zn 0.000 3.080 2.085
Zn 2.667 1.540 11.165
Sn 0.000 3.080 8.851
Sn 2.667 1.540 4.399
```


No. 19
VASP calculation (PBE) on crystalline YMg2Br at its relaxed geometry.

Summary:
Space group   I-42d (122)
Formation energy from raw total energies   -0.19 eV/atom
Relative energy among the computed polymorphs   0.243 eV per atom

Structure (extended XYZ):
```
8
Lattice="-4.321 4.321 2.955 4.321 -4.321 2.955 4.321 4.321 -2.955" Properties=species:S:1:pos:R:3 pbc="T T T"
Y 0.000 0.000 0.000
Y 0.000 4.321 1.478
Mg 2.160 2.443 -0.739
Mg 6.198 2.160 0.739
Mg 2.160 1.878 2.216
Mg -1.878 2.160 3.694
Br 4.321 0.000 1.478
Br 0.000 0.000 2.955
```


No. 20
VASP calculation (PBE) on crystalline Ba2Li5Cd12 at its relaxed geometry.

Summary:
Space group   R-3m (166)
Calculated total energy   -1.537 eV/atom

Structure (extended XYZ):
```
19
Lattice="5.149 2.973 4.915 -5.149 2.973 4.915 0.000 -5.946 4.915" Properties=species:S:1:pos:R:3 pbc="T T T"
Ba 0.000 0.000 2.205
Ba 0.000 0.000 12.541
Li -2.574 -1.486 4.915
Li 0.000 0.000 5.955
Li -2.574 1.486 9.831
Li 0.000 2.973 4.915
Li 0.000 0.000 8.791
Cd 0.000 -2.810 4.663
Cd -2.434 1.405 4.663
Cd -1.486 -2.575 7.373
Cd -2.973 0.000 7.373
Cd -2.434 -1.405 10.083
Cd 1.486 -2.575 7.373
Cd -1.486 2.575 7.373
Cd 2.434 1.405 4.663
Cd 2.973 0.000 7.373
Cd 1.486 2.575 7.373
Cd 2.434 -1.405 10.083
Cd 0.000 2.810 10.083
```